Run one
The following is a PBE-GGA calculation of Tb2Pr6Sm3 after structural relaxation, from the Alexandria database.

```
Tb2Pr6Sm3
1.0
4.8136 0.0000 0.0000
0.0000 4.8136 0.0000
-2.4068 -2.4068 17.2159
Pr Tb Sm
6 2 3
Direct
0.6192 0.1192 0.2384
0.7058 0.7058 0.4115
0.1192 0.6192 0.2384
0.3808 0.8808 0.7616
0.8808 0.3808 0.7616
0.2942 0.2942 0.5885
0.5446 0.5446 0.0892
0.4554 0.4554 0.9108
0.0000 0.0000 0.0000
0.1944 0.1944 0.3888
0.8056 0.8056 0.6112
```

theoretical density: 6.72 Mg/m³
Fermi-level density of states: 16.78 states/eV per cell
total magnetic moment: 0.000 μB/cell
space group: I4/mmm



Run two
The following is a PBE-GGA calculation of Tb2Pr6Sm3 after structural relaxation, from the Alexandria database.

```
Tb2Pr6Sm3
1.0
3.6570 0.0000 0.2243
1.8216 3.1710 0.2243
-0.1836 -0.1063 32.9108
Sm Pr Tb
3 6 2
Direct
0.0000 0.0000 0.0000
0.7274 0.7274 0.8178
0.2726 0.2726 0.1822
0.9088 0.9088 0.2737
0.1823 0.1823 0.4532
0.8177 0.8177 0.5468
0.0912 0.0912 0.7263
0.3637 0.3637 0.9088
0.6363 0.6363 0.0912
0.4545 0.4545 0.6366
0.5455 0.5455 0.3634
```

theoretical density: 7.02 Mg/m³
Fermi-level density of states: 14.14 states/eV per cell
total magnetic moment: 0.000 μB/cell
space group: R-3m



Energy above the most stable structure, in eV/atom: run one 0.265; run two 0.000



Run one
The following is a PBE-GGA calculation of TbPr7Sm2 after structural relaxation, from the Alexandria database.

```
TbPr7Sm2
1.0
5.6220 0.0000 0.0000
0.0000 9.5043 -0.6247
0.0000 -4.8455 8.2003
Sm Tb Pr
2 1 7
Direct
0.5000 0.7046 0.2954
0.5000 0.2954 0.7046
0.0000 0.0000 0.0000
0.5000 0.0686 0.2924
0.0000 0.7806 0.2194
0.5000 0.5000 0.5000
0.5000 0.7076 0.9314
0.0000 0.2194 0.7806
0.5000 0.9314 0.7076
0.5000 0.2924 0.0686
```

theoretical density: 5.70 Mg/m³
Fermi-level density of states: 15.91 states/eV per cell
total magnetic moment: 0.000 μB/cell
space group: Cmmm



Run two
The following is a PBE-GGA calculation of TbPr7Sm2 after structural relaxation, from the Alexandria database.

```
TbPr7Sm2
1.0
3.4852 0.0000 0.0000
0.0000 12.1224 -9.5352
0.0000 -6.8942 13.7954
Pr Sm Tb
7 2 1
Direct
0.0000 0.3097 0.6907
0.5000 0.1428 0.3418
0.0000 0.6903 0.3093
0.5000 0.6583 0.8575
0.5000 0.5000 0.5000
0.5000 0.3417 0.1425
0.5000 0.8572 0.6582
0.5000 0.7943 0.2072
0.5000 0.2057 0.7928
0.0000 0.0000 0.0000
```

theoretical density: 6.79 Mg/m³
Fermi-level density of states: 15.38 states/eV per cell
total magnetic moment: 0.000 μB/cell
space group: P2/m



Energy above the most stable structure, in eV/atom: run one 0.451; run two 0.000



Run one
The following is a PBE-GGA calculation of Tb3Pr6Sm2 after structural relaxation, from the Alexandria database.

```
Tb3Pr6Sm2
1.0
5.9021 -0.9248 2.1067
-0.9933 7.5678 2.9678
4.1744 6.0085 13.1761
Pr Tb Sm
6 3 2
Direct
0.9079 0.3634 0.2719
0.0921 0.6366 0.7281
0.1821 0.2762 0.4543
0.8179 0.7238 0.5457
0.7292 0.0911 0.8177
0.2708 0.9089 0.1823
0.0000 0.0000 0.0000
0.4520 0.1803 0.6380
0.5480 0.8197 0.3620
0.6397 0.4575 0.0893
0.3603 0.5425 0.9107
```

theoretical density: 7.08 Mg/m³
Fermi-level density of states: 15.38 states/eV per cell
total magnetic moment: 0.000 μB/cell
space group: P-1



Run two
The following is a PBE-GGA calculation of Tb3Pr6Sm2 after structural relaxation, from the Alexandria database.

```
Tb3Pr6Sm2
1.0
-3.8456 1.0652 2.6639
1.0120 -3.6649 2.9265
11.0846 11.7707 6.9745
Pr Tb Sm
6 3 2
Direct
0.8797 0.3797 0.7593
0.3797 0.8797 0.7593
0.1203 0.6203 0.2407
0.7069 0.7069 0.4139
0.2931 0.2931 0.5861
0.6203 0.1203 0.2407
0.1937 0.1937 0.3875
0.0000 0.0000 0.0000
0.8063 0.8063 0.6125
0.5446 0.5446 0.0892
0.4554 0.4554 0.9108
```

theoretical density: 6.78 Mg/m³
Fermi-level density of states: 16.24 states/eV per cell
total magnetic moment: 0.000 μB/cell
space group: I4/mmm



Energy above the most stable structure, in eV/atom: run one 0.000; run two 0.267



Run one
The following is a PBE-GGA calculation of Tb5Pr12Sm2 after structural relaxation, from the Alexandria database.

```
Tb5Pr12Sm2
1.0
-4.4574 -1.0441 9.4938
7.8414 -4.5880 -2.6737
4.7869 5.8924 2.8955
Pr Tb Sm
12 5 2
Direct
0.8323 0.2128 0.6115
0.4472 0.8945 0.7131
0.1677 0.7872 0.3885
0.1422 0.2843 0.8855
0.3805 0.2128 0.6115
0.5857 0.6240 0.7925
0.9617 0.3760 0.2075
0.6195 0.7872 0.3885
0.8578 0.7157 0.1145
0.0383 0.6240 0.7925
0.4143 0.3760 0.2075
0.5528 0.1055 0.2869
0.7560 0.5120 0.4861
0.2440 0.4880 0.5139
0.3467 0.6934 0.0892
0.6533 0.3066 0.9108
0.0000 0.0000 0.5000
0.2545 0.0000 0.0000
0.7455 0.0000 0.0000
```

theoretical density: 6.87 Mg/m³
Fermi-level density of states: 26.80 states/eV per cell
total magnetic moment: 0.000 μB/cell
space group: C2/m



Run two
The following is a PBE-GGA calculation of Tb5Pr12Sm2 after structural relaxation, from the Alexandria database.

```
Tb5Pr12Sm2
1.0
-7.0557 2.6823 -0.4904
0.2686 -10.6195 -3.6109
-3.3448 -7.7617 5.6694
Tb Pr Sm
5 12 2
Direct
0.3206 0.6412 0.1600
0.1776 0.3552 0.8196
0.0000 0.0000 0.5000
0.8224 0.6448 0.1804
0.6794 0.3588 0.8400
0.0753 0.6688 0.8295
0.9918 0.9835 0.8015
0.0082 0.0165 0.1985
0.9247 0.3312 0.1705
0.0885 0.6780 0.4703
0.4105 0.3220 0.5297
0.4925 0.9851 0.6843
0.5895 0.6780 0.4703
0.5935 0.6688 0.8295
0.4065 0.3312 0.1705
0.9115 0.3220 0.5297
0.5075 0.0149 0.3157
0.2988 0.0000 0.0000
0.7012 0.0000 0.0000
```

theoretical density: 6.91 Mg/m³
Fermi-level density of states: 30.13 states/eV per cell
total magnetic moment: 0.000 μB/cell
space group: C2/m



Energy above the most stable structure, in eV/atom: run one 0.000; run two 0.042



Run one
The following is a PBE-GGA calculation of Tb5Pr2Sm after structural relaxation, from the Alexandria database.

```
Tb5Pr2Sm
1.0
-4.6366 1.2094 -1.7577
-2.8518 -5.4389 3.7803
-1.9548 8.8334 11.2344
Pr Tb Sm
4 10 2
Direct
0.5000 0.2488 0.1254
0.5000 0.2512 0.6254
0.5000 0.7488 0.3746
0.5000 0.7512 0.8746
0.0000 0.4988 0.2504
0.5000 0.7509 0.6252
0.5000 0.2491 0.3748
0.0000 0.5000 0.5000
0.0000 0.0000 0.0000
0.0000 0.5012 0.7496
0.5000 0.7491 0.1252
0.5000 0.2509 0.8748
0.0000 0.9988 0.2496
0.0000 0.0012 0.7504
0.0000 0.0000 0.5000
0.0000 0.5000 0.0000
```

theoretical density: 7.67 Mg/m³
Fermi-level density of states: 22.69 states/eV per cell
total magnetic moment: 0.000 μB/cell
space group: Pbam



Run two
The following is a PBE-GGA calculation of Tb5Pr2Sm after structural relaxation, from the Alexandria database.

```
Tb5Pr2Sm
1.0
1.6582 9.3970 -4.3379
-0.8795 -3.3929 -5.0483
-8.9319 -2.7817 6.8257
Tb Pr Sm
10 4 2
Direct
0.7165 0.0295 0.5763
0.0970 0.3119 0.1331
0.2869 0.9267 0.8383
0.7131 0.0733 0.1617
0.2835 0.9705 0.4237
0.9030 0.6881 0.8669
0.4453 0.4627 0.8060
0.1389 0.5031 0.4668
0.8611 0.4969 0.5332
0.5547 0.5373 0.1940
0.6225 0.0242 0.8140
0.3775 0.9758 0.1860
0.1403 0.3694 0.8615
0.8597 0.6306 0.1385
0.5000 0.5000 0.5000
0.0000 0.0000 0.5000
```

theoretical density: 7.55 Mg/m³
Fermi-level density of states: 22.55 states/eV per cell
total magnetic moment: 0.000 μB/cell
space group: P-1



Energy above the most stable structure, in eV/atom: run one 0.000; run two 0.106



Run one
The following is a PBE-GGA calculation of Tb12Pr6Sm after structural relaxation, from the Alexandria database.

```
Tb12Pr6Sm
1.0
-2.9084 8.3268 0.1081
-7.7721 -4.1317 -0.5736
1.4383 -1.0343 8.6410
Tb Pr Sm
12 6 1
Direct
0.2432 0.5000 0.7568
0.7568 0.2432 0.5000
0.6437 0.9181 0.6437
0.7568 0.5000 0.2432
0.6437 0.6437 0.9181
0.9181 0.6437 0.6437
0.2432 0.7568 0.5000
0.5000 0.2432 0.7568
0.3563 0.3563 0.0819
0.3563 0.0819 0.3563
0.0819 0.3563 0.3563
0.5000 0.7568 0.2432
0.0970 0.0970 0.6565
0.3435 0.9030 0.9030
0.6565 0.0970 0.0970
0.9030 0.3435 0.9030
0.0970 0.6565 0.0970
0.9030 0.9030 0.3435
0.0000 0.0000 0.0000
```

theoretical density: 7.31 Mg/m³
Fermi-level density of states: 31.51 states/eV per cell
total magnetic moment: 0.000 μB/cell
space group: R-3m



Run two
The following is a PBE-GGA calculation of Tb12Pr6Sm after structural relaxation, from the Alexandria database.

```
Tb12Pr6Sm
1.0
-6.9447 -4.7283 2.4648
-1.6393 -4.3934 -7.3941
3.8474 -7.6538 1.8105
Pr Tb Sm
6 12 1
Direct
0.2313 0.8359 0.2312
0.7688 0.7687 0.1641
0.1641 0.7688 0.7687
0.7687 0.1641 0.7688
0.8359 0.2312 0.2313
0.2312 0.2313 0.8359
0.5148 0.5147 0.1968
0.1374 0.4845 0.1372
0.5147 0.1968 0.5148
0.8032 0.4852 0.4853
0.4853 0.8032 0.4852
0.8628 0.8626 0.5155
0.8626 0.5155 0.8628
0.1372 0.1374 0.4845
0.4845 0.1372 0.1374
0.4852 0.4853 0.8032
0.1968 0.5148 0.5147
0.5155 0.8628 0.8626
0.0000 0.0000 0.0000
```

theoretical density: 7.52 Mg/m³
Fermi-level density of states: 29.83 states/eV per cell
total magnetic moment: 0.000 μB/cell
space group: R-3m



Energy above the most stable structure, in eV/atom: run one 0.092; run two 0.000



Run one
The following is a PBE-GGA calculation of Tb2Pr5Sm12 after structural relaxation, from the Alexandria database.

```
Tb2Pr5Sm12
1.0
8.2791 0.0000 0.0000
-4.1396 8.7547 3.2435
0.0000 0.0333 9.2148
Pr Sm Tb
5 12 2
Direct
0.0000 0.0000 0.5000
0.6964 0.3928 0.8178
0.7617 0.5234 0.2116
0.3036 0.6072 0.1821
0.2383 0.4766 0.7884
0.6588 0.7275 0.8504
0.0778 0.6908 0.4672
0.0687 0.7275 0.8504
0.6131 0.6908 0.4672
0.9222 0.3092 0.5328
0.4912 0.9825 0.6731
0.3412 0.2725 0.1496
0.0483 0.0966 0.8252
0.9517 0.9034 0.1748
0.5088 0.0175 0.3269
0.3869 0.3092 0.5328
0.9313 0.2725 0.1496
0.6747 0.0000 0.0000
0.3253 0.0000 0.0000
```

theoretical density: 7.04 Mg/m³
Fermi-level density of states: 26.43 states/eV per cell
total magnetic moment: 0.000 μB/cell
space group: C2/m



Run two
The following is a PBE-GGA calculation of Tb2Pr5Sm12 after structural relaxation, from the Alexandria database.

```
Tb2Pr5Sm12
1.0
6.1465 -0.0903 1.2109
1.2733 9.6371 4.7383
-0.0657 -0.4494 10.8058
Sm Pr Tb
12 5 2
Direct
0.6185 0.6430 0.1520
0.6185 0.1520 0.6430
0.2000 0.5489 0.0567
0.3815 0.3570 0.8480
0.2745 0.4476 0.4476
0.2000 0.0567 0.5489
0.9963 0.8803 0.8803
0.0037 0.1197 0.1197
0.8000 0.9433 0.4511
0.7255 0.5524 0.5524
0.3815 0.8480 0.3570
0.8000 0.4511 0.9433
0.5000 0.0000 0.0000
0.4467 0.2143 0.2143
0.8583 0.3244 0.3244
0.5533 0.7857 0.7857
0.1417 0.6756 0.6756
0.0000 0.7713 0.2287
0.0000 0.2287 0.7713
```

theoretical density: 7.17 Mg/m³
Fermi-level density of states: 28.27 states/eV per cell
total magnetic moment: 0.000 μB/cell
space group: C2/m



Energy above the most stable structure, in eV/atom: run one 0.101; run two 0.000



Run one
The following is a PBE-GGA calculation of Tb3Pr5Sm4 after structural relaxation, from the Alexandria database.

```
Tb3Pr5Sm4
1.0
-5.5432 4.6665 -0.8018
-0.1214 -11.5378 -0.0037
-0.7581 11.5453 6.2581
Sm Tb Pr
4 3 5
Direct
0.1646 0.3304 0.1658
0.8354 0.6696 0.8342
0.9160 0.8315 0.6658
0.0840 0.1685 0.3342
0.4155 0.8327 0.6666
0.5845 0.1673 0.3334
0.0000 0.0000 0.5000
0.3348 0.6653 0.8308
0.5000 0.0000 0.5000
0.2499 0.5016 0.0012
0.6652 0.3347 0.1692
0.7501 0.4984 0.9988
```

theoretical density: 7.19 Mg/m³
Fermi-level density of states: 16.82 states/eV per cell
total magnetic moment: 0.000 μB/cell
space group: P-1



Run two
The following is a PBE-GGA calculation of Tb3Pr5Sm4 after structural relaxation, from the Alexandria database.

```
Tb3Pr5Sm4
1.0
5.5759 0.0000 0.0000
2.7879 5.7765 -0.0846
2.7879 2.3448 12.9804
Sm Pr Tb
4 5 3
Direct
0.2306 0.9336 0.6052
0.0909 0.9478 0.8705
0.9091 0.0522 0.1295
0.7694 0.0664 0.3948
0.5000 0.5000 0.5000
0.1694 0.4260 0.2352
0.8306 0.5740 0.7648
0.3617 0.3120 0.9646
0.6383 0.6880 0.0354
0.5447 0.1938 0.7169
0.0000 0.5000 0.5000
0.4553 0.8062 0.2831
```

theoretical density: 7.06 Mg/m³
Fermi-level density of states: 16.05 states/eV per cell
total magnetic moment: 0.263 μB/cell
space group: C2/m



Energy above the most stable structure, in eV/atom: run one 0.000; run two 0.192



Run one
The following is a PBE-GGA calculation of TbPrSm after structural relaxation, from the Alexandria database.

```
TbPrSm
1.0
3.6547 0.0033 0.0075
1.8234 3.1049 0.6188
-0.0190 0.3813 9.0901
Sm Tb Pr
1 1 1
Direct
0.6498 0.1227 0.2742
0.8715 0.6790 0.9497
0.0909 0.2406 0.6157
```

theoretical density: 7.31 Mg/m³
Fermi-level density of states: 3.87 states/eV per cell
total magnetic moment: 0.000 μB/cell
space group: Cm



Run two
The following is a PBE-GGA calculation of TbPrSm after structural relaxation, from the Alexandria database.

```
TbPrSm
1.0
3.4935 0.0000 0.0000
0.0000 8.2864 0.3295
0.0000 -0.4006 8.2832
Sm Pr Tb
2 2 2
Direct
0.0000 0.2616 0.2616
0.0000 0.7384 0.7384
0.5000 0.7610 0.2390
0.5000 0.2390 0.7610
0.0000 0.0000 0.0000
0.5000 0.5000 0.5000
```

theoretical density: 6.22 Mg/m³
Fermi-level density of states: 9.70 states/eV per cell
total magnetic moment: 0.000 μB/cell
space group: Cmmm



Energy above the most stable structure, in eV/atom: run one 0.000; run two 0.597